DFT (PBE) results for Zn2TcCl after structural relaxation.

a = 10.008 Å, b = 2.817 Å, c = 4.861 Å
α = 90.00°, β = 105.17°, γ = 90.00°
Space group Cm (No. 8)
Symmetry-distinct sites (fractional):
Zn1 0.000 0.000 0.000 [2 per cell]
Zn2 0.200 0.000 0.655 [2 per cell]
Tc1 0.463 0.000 0.519 [2 per cell]
Cl1 0.288 0.500 0.218 [2 per cell]

Values from the calculation:
Calculated density = 6635 kg/m³
E above lowest polymorph = 0.091 eV per atom
Energy = -28.46 eV/cell
Fermi-level density of states = 0.2810 states/eV per atom
Formation energy without anion corrections = 0.132 eV per atom
Crystal system = monoclinic



DFT (PBE) results for RbHW2 after structural relaxation.

a = 5.938 Å, b = 5.938 Å, c = 8.378 Å
α = 90.00°, β = 90.00°, γ = 90.00°
Space group I4_1/amd (No. 141, origin choice 2)
Symmetry-distinct sites (fractional):
Rb1 0.000 0.250 0.375 [4 per cell]
H1 0.000 0.250 0.875 [4 per cell]
W1 0.000 0.000 0.000 [8 per cell]

Values from the calculation:
Calculated density = 10212 kg/m³
E above lowest polymorph = 0.000 eV per atom
Energy = -97.86 eV/cell
Fermi-level density of states = 1.2370 states/eV per atom
Crystal system = tetragonal



DFT (PBE) results for TbErInPb after structural relaxation.

a = 7.611 Å, b = 7.611 Å, c = 7.611 Å
α = 90.00°, β = 90.00°, γ = 90.00°
Space group F-43m (No. 216)
Symmetry-distinct sites (fractional):
Tb1 0.000 0.000 0.000 [4 per cell]
Er1 0.000 0.000 0.500 [4 per cell]
In1 0.250 0.250 0.750 [4 per cell]
Pb1 0.250 0.250 0.250 [4 per cell]

Values from the calculation:
Calculated density = 9767 kg/m³
E above lowest polymorph = 0.044 eV per atom
Energy = -68.85 eV/cell
Fermi-level density of states = 0.9127 states/eV per atom
Crystal system = cubic
Energy of formation = -1.57 eV per formula unit



DFT (PBE) results for Te2AsPb after structural relaxation.

a = 3.9130 Å, b = 3.9130 Å, c = 29.7087 Å
α = 90.00°, β = 90.00°, γ = 120.00°
Space group R-3m (No. 166, hexagonal axes)
Symmetry-distinct sites (fractional):
Te1 0.0000 0.0000 0.1074 [6 per cell]
As1 0.0000 0.0000 0.5000 [3 per cell]
Pb1 0.0000 0.0000 0.0000 [3 per cell]

Values from the calculation:
Calculated density = 6795 kg/m³
E above lowest polymorph = 0.132 eV per atom
Energy = -43.22 eV/cell
Fermi-level density of states = 0.4586 states/eV per atom
Formation energy without anion corrections = 0.059 eV per atom
Crystal system = trigonal



DFT (PBE) results for CaIrPdO2 after structural relaxation.

a = 3.818 Å, b = 3.818 Å, c = 6.486 Å
α = 90.00°, β = 90.00°, γ = 90.00°
Space group P4/mmm (No. 123)
Symmetry-distinct sites (fractional):
Ca1 0.000 0.000 0.000 [1 per cell]
Ir1 0.000 0.000 0.500 [1 per cell]
Pd1 0.500 0.500 0.000 [1 per cell]
O1 0.000 0.500 0.500 [2 per cell]

Values from the calculation:
Calculated density = 6512 kg/m³
Energy = -27.44 eV/cell
Fermi-level density of states = 0.9873 states/eV per atom
Formation energy without anion corrections = -0.294 eV per atom
Crystal system = tetragonal



DFT (PBE) results for CsMgMo3 after structural relaxation.

a = 4.934 Å, b = 4.934 Å, c = 4.934 Å
α = 90.00°, β = 90.00°, γ = 90.00°
Space group Pm-3m (No. 221)
Symmetry-distinct sites (fractional):
Cs1 0.000 0.000 0.000 [1 per cell]
Mg1 0.500 0.500 0.500 [1 per cell]
Mo1 0.000 0.000 0.500 [3 per cell]

Values from the calculation:
Calculated density = 6150 kg/m³
E above lowest polymorph = 0.417 eV per atom
Energy = -20.18 eV/cell
Fermi-level density of states = 1.2647 states/eV per atom
Crystal system = cubic
Energy of formation = 14.76 eV per formula unit